[1]
DFT (PBE) results for an optimized crystal structure of CeTmSn.

Calculated values
calculated formation energy	-174	meV per atom
DOS at the Fermi energy	12.10	states/eV per cell

a b c (Å): 5.4027 5.4027 6.5419
angles (deg): 90.00 90.00 120.00
With the nearest neighbours (Å) after each atom.
Space group P-3m1 (No. 164)
Symmetry-distinct sites (fractional):
Ce (0.3333, 0.6667, 0.4282) (multiplicity 2)  2 Sn 3.19-3.35, 3 Ce 3.26, 3 Tm 3.33
Tm (0.0000, 0.0000, 0.2494) (multiplicity 2)  2 Tm 3.26-3.28, 3 Sn 3.30, 3 Ce 3.33
Sn (0.3333, 0.6667, 0.9156) (multiplicity 2)  2 Ce 3.19-3.35, 3 Tm 3.30, 3 Sn 3.31

=====

[2]
DFT (PBE) results for an optimized crystal structure of PrNd2Ir.

Calculated values
polymorph energy (0 for the lowest one)	131.8	kJ/mol of formula units
calculated formation energy	-97	meV per atom
DOS at the Fermi energy	17.08	states/eV per cell

a b c (Å): 3.9185 3.9185 32.2253
angles (deg): 90.00 90.00 120.00
With the nearest neighbours (Å) after each atom.
Space group R-3m (No. 166, hexagonal axes)
Symmetry-distinct sites (fractional):
Pr (0.0000, 0.0000, 0.0000) (multiplicity 3)  2 Nd 3.69, 6 Pr 3.92
Nd (0.0000, 0.0000, 0.1145) (multiplicity 6)  3 Ir 2.82
Ir (0.0000, 0.0000, 0.5000) (multiplicity 3)  6 Nd 2.82

=====

[3]
DFT (PBE) results for an optimized crystal structure of Pu2Th2Ge3.

Calculated values
calculated formation energy	-263	meV per atom
DOS at the Fermi energy	39.15	states/eV per cell

a b c (Å): 13.7303 4.2425 6.9259
angles (deg): 90.00 98.04 90.00
With the nearest neighbours (Å) after each atom.
Space group C2/m (No. 12)
Symmetry-distinct sites (fractional):
Pu (0.1173, 0.0000, 0.3512) (multiplicity 4)  5 Ge 2.94-2.95
Th (0.1260, 0.5000, 0.8843) (multiplicity 4)  4 Ge 2.96-2.99
Ge (0.0000, 0.5000, 0.5000) (multiplicity 2)  4 Pu 2.94, 2 Th 2.96
Ge (0.2451, 0.0000, 0.7302) (multiplicity 4)  3 Pu 2.95, 3 Th 2.97-2.99

=====

[4]
DFT (PBE) results for an optimized crystal structure of ZrTcRh4.

Calculated values
calculated formation energy	-90	meV per atom
DOS at the Fermi energy	36.38	states/eV per cell

a b c (Å): 7.2659 7.2659 7.2659
angles (deg): 90.00 90.00 90.00
With the nearest neighbours (Å) after each atom.
Space group F-43m (No. 216)
Symmetry-distinct sites (fractional):
Zr (0.0000, 0.0000, 0.0000) (multiplicity 4)  12 Rh 3.01, 4 Tc 3.15
Tc (0.2500, 0.2500, 0.7500) (multiplicity 4)  12 Rh 3.01, 4 Zr 3.15
Rh (0.1246, 0.1246, 0.3754) (multiplicity 16)  6 Rh 2.56-2.58

=====

[5]
DFT (PBE) results for an optimized crystal structure of Tm4SbSe2S.

Calculated values
energy relative to the elements, uncorrected	-1555	meV/atom
DOS at the Fermi energy	13.41	states/eV per cell

a b c (Å): 8.1003 8.1638 11.5129
angles (deg): 90.00 90.00 90.00
With the nearest neighbours (Å) after each atom.
Space group Imma (No. 74)
Symmetry-distinct sites (fractional):
Tm (0.0000, 0.0188, 0.2444) (multiplicity 8)  2 S 2.77, 3 Se 2.82-2.99, 1 Sb 2.95
Tm (0.2379, 0.2500, 0.0109) (multiplicity 8)  1 S 2.75, 3 Se 2.81-3.01, 2 Sb 2.95
Sb (0.0000, 0.0000, 0.5000) (multiplicity 4)  6 Tm 2.95
Se (0.0000, 0.0000, 0.0000) (multiplicity 4)  6 Tm 2.81-2.82
Se (0.2500, 0.2500, 0.7500) (multiplicity 4)  6 Tm 2.99-3.01
S (0.2500, 0.2500, 0.2500) (multiplicity 4)  6 Tm 2.75-2.77

=====

[6]
DFT (PBE) results for an optimized crystal structure of PmPr2Se2S2.

Calculated values
energy relative to the elements, uncorrected	-1555	meV/atom
DOS at the Fermi energy	5.80	states/eV per cell

a b c (Å): 5.2271 5.2271 15.0584
angles (deg): 90.00 90.00 90.00
With the nearest neighbours (Å) after each atom.
Space group I4/mmm (No. 139)
Symmetry-distinct sites (fractional):
Pm (0.0000, 0.0000, 0.0000) (multiplicity 2)  4 S 2.61, 2 Se 2.85
Pr (0.0000, 0.0000, 0.3782) (multiplicity 4)  1 Se 2.85
Se (0.0000, 0.0000, 0.1892) (multiplicity 4)  1 Pr 2.85, 1 Pm 2.85
S (0.0000, 0.5000, 0.0000) (multiplicity 4)  2 Pm 2.61